The following is a PBE+U calculation of Pm6FeO12 after structural relaxation, from Alexandria via LeMat-Bulk.

The value obtained for the raw total energy is -0.2844 Ha/atom. For the spin magnetization, the calculation gives 12.37 μB/cell. Its density of states at the Fermi level is 9.739 states/eV/f.u. Its density is 6.6 g/cm3.

The structure in CIF format:
```
data_Pm6FeO12
_chemical_formula_sum 'Pm18 Fe3 O36'
_cell_length_a 10.0631
_cell_length_b 10.0631
_cell_length_c 9.6264
_cell_angle_alpha 90.00
_cell_angle_beta 90.00
_cell_angle_gamma 120.00
_space_group_name_H-M_alt 'R -3'
_space_group_IT_number 148
_space_group_name_Hall '-R 3'
loop_
_atom_site_label
_atom_site_fract_x
_atom_site_fract_y
_atom_site_fract_z
Pm1 0.0538 0.7913 0.1510
Fe1 0.0000 0.0000 0.5000
O1 0.0405 0.8131 0.9047
O2 0.0449 0.8567 0.3950
```